Compound: Sm2In4Ga
Source: the Alexandria database
Functional: PBE
Structure: relaxed

For the total energy, the calculation gives -3.7027 eV per atom. The total magnetic moment comes out at 0.0000 μB/atom. Its formation enthalpy at 0 K is -2.5 eV/f.u.

The structure belongs to space group C2/m (No. 12); the cell edges are 8.888, 8.897 and 6.529 Å and the angles 90.00°, 132.78° and 90.00°. The asymmetric unit holds Sm at (0.250, 0.250, 0.000), In at (0.000, 0.000, 0.500), In at (0.000, 0.500, 0.500), In at (0.250, 0.250, 0.500) and Ga at (0.000, 0.000, 0.000).